1.
# GGA-PBE FeIr2W2, relaxed
# * total moment: 0.375 μB per atom
# * E_form: -0.57 eV/f.u.
# * E_tot: -10.532 eV per atom
# * excess energy over the best structure of this formula in the dataset: 0 kJ/mol of formula units
data_FeIr2W2
_cell_length_a 8.687
_cell_length_b 3.837
_cell_length_c 6.160
_cell_angle_alpha 90.00
_cell_angle_beta 134.53
_cell_angle_gamma 90.00
_space_group_name_H-M_alt 'C 1 2/m 1'
_space_group_IT_number 12
_space_group_name_Hall '-C 2y'
loop_
_atom_site_label
_atom_site_fract_x
_atom_site_fract_y
_atom_site_fract_z
_atom_site_occupancy
Fe1 0.000 0.000 0.000 1
Ir1 0.204 0.000 0.798 1
W1 0.085 0.500 0.373 1

2.
# GGA-PBE Y2Cu3Pd, relaxed
# * total moment: 0.000 μB per atom
# * E_form: -2.47 eV/f.u.
# * E_tot: -5.480 eV per atom
data_Y2Cu3Pd
_cell_length_a 3.568
_cell_length_b 4.322
_cell_length_c 7.431
_cell_angle_alpha 90.00
_cell_angle_beta 90.00
_cell_angle_gamma 90.00
_space_group_name_H-M_alt 'P m m 2'
_space_group_IT_number 25
_space_group_name_Hall 'P 2 -2'
loop_
_atom_site_label
_atom_site_fract_x
_atom_site_fract_y
_atom_site_fract_z
_atom_site_occupancy
Y1 0.000 0.000 0.000 1
Y2 0.000 0.500 0.496 1
Cu1 0.500 0.000 0.676 1
Cu2 0.500 0.500 0.152 1
Cu3 0.500 0.500 0.827 1
Pd1 0.500 0.000 0.333 1

3.
# GGA-PBE PmNdGd2, relaxed
# * total moment: 3.867 μB per atom
# * E_form: 0.60 eV/f.u.
# * E_tot: -9.271 eV per atom
# * excess energy over the best structure of this formula in the dataset: 51 kJ/mol of formula units
data_PmNdGd2
_cell_length_a 3.5458
_cell_length_b 3.5458
_cell_length_c 37.6445
_cell_angle_alpha 90.00
_cell_angle_beta 90.00
_cell_angle_gamma 120.00
_space_group_name_H-M_alt 'R -3 m'
_space_group_IT_number 166
_space_group_name_Hall '-R 3 2"'
loop_
_atom_site_label
_atom_site_fract_x
_atom_site_fract_y
_atom_site_fract_z
_atom_site_occupancy
Pm1 0.0000 0.0000 0.0000 1
Nd1 0.0000 0.0000 0.5000 1
Gd1 0.0000 0.0000 0.4103 1

4.
# GGA-PBE ZrTeP2, relaxed
# * raw formation energy: 0.0896 eV/atom
# * total moment: 0.000 μB per atom
# * E_tot: -5.538 eV per atom
# * excess energy over the best structure of this formula in the dataset: 261 kJ/mol of formula units
data_ZrTeP2
_cell_length_a 6.739
_cell_length_b 6.739
_cell_length_c 6.739
_cell_angle_alpha 90.00
_cell_angle_beta 90.00
_cell_angle_gamma 90.00
_space_group_name_H-M_alt 'F m -3 m'
_space_group_IT_number 225
_space_group_name_Hall '-F 4 2 3'
loop_
_atom_site_label
_atom_site_fract_x
_atom_site_fract_y
_atom_site_fract_z
_atom_site_occupancy
Zr1 0.000 0.000 0.000 1
Te1 0.000 0.000 0.500 1
P1 0.250 0.250 0.250 1

5.
# GGA-PBE Be3NbO, relaxed
# * raw formation energy: -0.0617 eV/atom
# * total moment: 0.359 μB per atom
# * E_tot: -5.303 eV per atom
# * excess energy over the best structure of this formula in the dataset: 0 kJ/mol of formula units
data_Be3NbO
_cell_length_a 3.732
_cell_length_b 3.732
_cell_length_c 3.732
_cell_angle_alpha 90.00
_cell_angle_beta 90.00
_cell_angle_gamma 90.00
_space_group_name_H-M_alt 'P m -3 m'
_space_group_IT_number 221
_space_group_name_Hall '-P 4 2 3'
loop_
_atom_site_label
_atom_site_fract_x
_atom_site_fract_y
_atom_site_fract_z
_atom_site_occupancy
Be1 0.000 0.000 0.500 1
Nb1 0.500 0.500 0.500 1
O1 0.000 0.000 0.000 1

6.
# GGA-PBE FeRe2Ru, relaxed
# * total moment: 0.362 μB per atom
# * E_form: 0.52 eV/f.u.
# * E_tot: -10.528 eV per atom
# * excess energy over the best structure of this formula in the dataset: 56 kJ/mol of formula units
data_FeRe2Ru
_cell_length_a 2.7196
_cell_length_b 2.7196
_cell_length_c 26.1950
_cell_angle_alpha 90.00
_cell_angle_beta 90.00
_cell_angle_gamma 120.00
_space_group_name_H-M_alt 'R 3 m'
_space_group_IT_number 160
_space_group_name_Hall 'R 3 -2"'
loop_
_atom_site_label
_atom_site_fract_x
_atom_site_fract_y
_atom_site_fract_z
_atom_site_occupancy
Fe1 0.0000 0.0000 0.0000 1
Re1 0.0000 0.0000 0.2528 1
Re2 0.0000 0.0000 0.4987 1
Ru1 0.0000 0.0000 0.7465 1

- What is the formula in the third record?
  PmNdGd2